Density functional theory data (GGA-PBE) for a geometry-optimized AlCoHgW structure. Values from VASP.

Calculated values
The total DFT energy (no corrections) is -5.415 eV/atom. The value obtained for the total moment is 0.5 μB/f.u. For the calculated density, the calculation gives 12.58 Mg/m³. The space-group type is F-43m, No. 216.

Cell and atoms, written as Quantum ESPRESSO input:
```
&SYSTEM
  ibrav = 0, nat = 4, ntyp = 4
/
ATOMIC_SPECIES
Co 58.93 Co.upf
Hg 200.59 Hg.upf
Al 26.98 Al.upf
W 183.84 W.upf
CELL_PARAMETERS angstrom
0.0000 3.1431 3.1431
3.1431 0.0000 3.1431
3.1431 3.1431 0.0000
ATOMIC_POSITIONS angstrom
Co 4.7146 4.7146 4.7146
Hg 1.5715 1.5715 1.5715
Al 0.0000 0.0000 0.0000
W 3.1431 3.1431 3.1431
```